Computed, not measured: a geometry-optimized Tb3Tc2Ge7 structure at the GGA-PBE level of DFT.

Summary:
magnetic moment: 0.0 μB/f.u.
SG: P2/m (10)
Fermi-level density of states: 0.436 states/eV/atom
energy relative to the elements: -496 meV per atom

Cell: 4.2859 4.3992 13.1070 Å, 99.81 90.00 90.00°
Fractional positions:
Ge: 0.5000 0.9144 0.8268
Ge: 0.0000 0.5823 0.1679
Tc: 0.5000 0.3734 0.7458
Ge: 0.5000 0.0856 0.1732
Tb: 0.5000 0.5000 0.0000
Tb: 0.0000 0.8150 0.6314
Ge: 0.5000 0.7211 0.4424
Tb: 0.0000 0.1850 0.3686
Tc: 0.5000 0.6266 0.2542
Ge: 0.0000 0.4177 0.8321
Ge: 0.0000 0.0000 0.0000
Ge: 0.5000 0.2789 0.5576

---

Computed, not measured: a geometry-optimized TaInPb2 structure at the GGA-PBE level of DFT.

Summary:
magnetic moment: 0.0 μB/f.u.
SG: P4/mmm (123)
Fermi-level density of states: 0.309 states/eV/atom
energy relative to the elements: 357 meV per atom

Cell: 3.1017 3.1017 11.2091 Å, 90.00 90.00 90.00°
Fractional positions:
Ta: 0.5000 0.5000 0.2500
In: 0.5000 0.5000 0.7500
Pb: 0.0000 0.0000 0.4596
Pb: 0.0000 0.0000 0.0404

---

Computed, not measured: a geometry-optimized CsNaHfF6 structure at the GGA-PBE level of DFT.

Summary:
magnetic moment: 0.0 μB/f.u.
DFT total energy: -109.15 eV per cell
SG: P-31c (163)
Fermi-level density of states: 0.000 states/eV/atom

Cell: 5.9850 5.9850 12.2927 Å, 90.00 90.00 120.00°
Fractional positions:
F: 0.3674 0.9592 0.6570
F: 0.6326 0.5918 0.1570
F: 0.5918 0.9592 0.8430
F: 0.0408 0.6326 0.8430
F: 0.4082 0.0408 0.1570
Na: 0.3333 0.6667 0.2500
Cs: 0.0000 0.0000 0.0000
F: 0.5918 0.6326 0.6570
Hf: 0.6667 0.3333 0.2500
Na: 0.6667 0.3333 0.7500
F: 0.3674 0.4082 0.8430
F: 0.9592 0.3674 0.1570
F: 0.6326 0.0408 0.3430
F: 0.9592 0.5918 0.3430
Hf: 0.3333 0.6667 0.7500
Cs: 0.0000 0.0000 0.5000
F: 0.4082 0.3674 0.3430
F: 0.0408 0.4082 0.6570

---

Computed, not measured: a geometry-optimized Sb2Mo structure at the GGA-PBE level of DFT.

Summary:
magnetic moment: 0.0 μB/f.u.
DFT total energy: -37.26 eV per cell
SG: Cm (8)
Fermi-level density of states: 0.721 states/eV/atom

Cell: 5.2027 5.2027 8.4862 Å, 83.31 83.31 36.63°
Fractional positions:
Sb: 0.3681 0.3681 0.7216
Sb: 0.4067 0.4067 0.2549
Mo: 0.6399 0.6399 0.7270
Sb: 0.6707 0.6707 0.0408
Mo: 0.9557 0.9557 0.9658
Sb: 0.1255 0.1255 0.4565